This record from Alexandria via LeMat-Bulk describes a relaxed HfTa3V8 crystal. The functional is GGA-PBE.

Cell: 5.1001 5.1001 8.2023 Å, 90.00 90.00 120.00°
With the nearest neighbours (Å) after each atom.
Space group P3m1 (No. 156)
Symmetry-distinct sites (fractional):
Hf (0.0000, 0.0000, 0.0000)  12 V 2.97-2.99, 4 Ta 3.10-3.13
Ta (0.0000, 0.0000, 0.3778)  12 V 2.90-2.99, 1 Hf 3.10, 3 Ta 3.11
Ta (0.6667, 0.3333, 0.5001)  12 V 2.92-2.99, 4 Ta 3.04-3.11
Ta (0.6667, 0.3333, 0.8707)  12 V 2.98-2.99, 1 Ta 3.04, 3 Hf 3.13
V (0.1636, 0.3271, 0.6836)  6 V 2.50-2.60
V (0.3333, 0.6667, 0.4376)  6 V 2.51-2.53
V (0.3333, 0.6667, 0.9367)  6 V 2.56-2.57
V (0.5037, 0.0074, 0.1903)  6 V 2.49-2.61

Calculated values
Its electronic total energy is -119.48 eV/cell. The value obtained for the spin magnetization is 0.0 μB per formula unit. As for the formation energy: -98 kJ/mol of formula units. For the calculated volume, the calculation gives 185 Å³/cell.